UHgTe | PBE-GGA | relaxed

a b c (Å): 5.147 5.147 5.147
angles (deg): 60.00 60.00 60.00
Fractional positions:
1 U 0.000 0.000 0.000
2 Hg 0.750 0.750 0.750
3 Te 0.250 0.250 0.250

Summary:
- spin magnetization (μB/cell) = 3.73
- excess energy over the best structure of this formula in the dataset (eV per formula unit) = 0.00
- symmetry = No. 216


UHgTe | PBE-GGA | relaxed

a b c (Å): 5.128 5.128 5.128
angles (deg): 60.00 60.00 60.00
Fractional positions:
1 U 0.000 0.000 0.000
2 Hg 0.500 0.500 0.500
3 Te 0.750 0.750 0.750

Summary:
- spin magnetization (μB/cell) = 3.55
- excess energy over the best structure of this formula in the dataset (eV per formula unit) = 0.76
- symmetry = No. 216


HgTeW | PBE-GGA | relaxed

a b c (Å): 4.652 4.652 4.652
angles (deg): 60.00 60.00 60.00
Fractional positions:
1 Hg 0.000 0.000 0.000
2 Te 0.250 0.250 0.250
3 W 0.500 0.500 0.500

Summary:
- spin magnetization (μB/cell) = 0.00
- excess energy over the best structure of this formula in the dataset (eV per formula unit) = 1.27
- symmetry = No. 216


YHgTe2 | PBE-GGA | relaxed

a b c (Å): 5.395 5.395 5.395
angles (deg): 60.00 60.00 60.00
Fractional positions:
1 Y 0.000 0.000 0.000
2 Hg 0.250 0.250 0.250
3 Te 0.500 0.500 0.500
4 Te 0.750 0.750 0.750

Summary:
- spin magnetization (μB/cell) = 0.00
- excess energy over the best structure of this formula in the dataset (eV per formula unit) = 1.98
- symmetry = No. 216


YHgTe | PBE-GGA | relaxed

a b c (Å): 5.168 5.168 5.168
angles (deg): 60.00 60.00 60.00
Fractional positions:
1 Y 0.000 0.000 0.000
2 Hg 0.500 0.500 0.500
3 Te 0.250 0.250 0.250

Summary:
- spin magnetization (μB/cell) = 0.01
- excess energy over the best structure of this formula in the dataset (eV per formula unit) = 0.00
- symmetry = No. 216


YHgTe2 | PBE-GGA | relaxed

a b c (Å): 4.374 6.156 10.896
angles (deg): 106.31 91.20 92.16
Fractional positions:
1 Y 0.234 0.200 0.391
2 Y 0.766 0.800 0.609
3 Hg 0.096 0.647 0.938
4 Hg 0.904 0.353 0.062
5 Te 0.247 0.700 0.397
6 Te 0.285 0.955 0.814
7 Te 0.715 0.045 0.186
8 Te 0.753 0.300 0.603

Summary:
- spin magnetization (μB/cell) = 0.02
- excess energy over the best structure of this formula in the dataset (eV per formula unit) = 0.00
- symmetry = No. 2


ZrHg2Te | PBE-GGA | relaxed

a b c (Å): 5.102 5.102 5.102
angles (deg): 60.00 60.00 60.00
Fractional positions:
1 Zr 0.000 0.000 0.000
2 Hg 0.250 0.250 0.250
3 Hg 0.500 0.500 0.500
4 Te 0.750 0.750 0.750

Summary:
- spin magnetization (μB/cell) = 0.01
- symmetry = No. 216
- calculated total energy (eV/atom) = -3.08


Th2Tl5Hg | PBE-GGA | relaxed

a b c (Å): 6.797 13.602 4.802
angles (deg): 90.00 90.00 90.00
Fractional positions:
1 Th 0.248 0.126 0.000
2 Th 0.252 0.626 0.000
3 Th 0.748 0.374 0.000
4 Th 0.752 0.874 0.000
5 Tl 0.000 0.000 0.500
6 Tl 0.003 0.749 0.500
7 Tl 0.245 0.377 0.000
8 Tl 0.255 0.877 0.000
9 Tl 0.497 0.249 0.500
10 Tl 0.500 0.500 0.500
11 Tl 0.503 0.751 0.500
12 Tl 0.745 0.123 0.000
13 Tl 0.755 0.623 0.000
14 Tl 0.997 0.251 0.500
15 Hg 0.000 0.500 0.500
16 Hg 0.500 0.000 0.500

Summary:
- spin magnetization (μB/cell) = 0.00
- symmetry = No. 55
- calculated total energy (eV/atom) = -3.54